Entry 1:
Density functional theory data (GGA-PBE) for a relaxed structure of Re2TeAu.

Cell: 3.231 3.231 6.517 Å, 90.00 90.00 90.00°
Space group P4/mmm (No. 123)
Inequivalent atoms, fractional coordinates:
Re 0.000 0.000 0.245 x2
Te 0.500 0.500 0.000 x1
Au 0.500 0.500 0.500 x1



Entry 2:
Density functional theory data (GGA-PBE) for a relaxed structure of ReTeAu2.

Cell: 4.023 4.023 4.602 Å, 90.00 90.00 90.00°
Space group P4/mmm (No. 123)
Inequivalent atoms, fractional coordinates:
Re 0.000 0.000 0.000 x1
Te 0.500 0.500 0.000 x1
Au 0.000 0.500 0.500 x2



Entry 3:
Density functional theory data (GGA-PBE) for a relaxed structure of ReTeAu.

Cell: 4.8452 4.8452 2.8098 Å, 90.00 90.00 120.00°
Space group P-6m2 (No. 187)
Inequivalent atoms, fractional coordinates:
Re 0.0000 0.0000 0.0000 x1
Te 0.6667 0.3333 0.0000 x1
Au 0.3333 0.6667 0.5000 x1



Entry 4:
Density functional theory data (GGA-PBE) for a relaxed structure of ReTeAu2.

Cell: 2.9759 2.9759 30.7459 Å, 90.00 90.00 120.00°
Space group R-3m (No. 166, hexagonal axes)
Inequivalent atoms, fractional coordinates:
Re 0.0000 0.0000 0.0000 x3
Te 0.0000 0.0000 0.5000 x3
Au 0.0000 0.0000 0.2611 x6



Entry 5:
Density functional theory data (GGA-PBE) for a relaxed structure of Re2TeAu.

Cell: 6.573 6.573 6.573 Å, 90.00 90.00 90.00°
Space group F-43m (No. 216)
Inequivalent atoms, fractional coordinates:
Re 0.000 0.000 0.000 x4
Re 0.250 0.250 0.250 x4
Te 0.250 0.250 0.750 x4
Au 0.000 0.000 0.500 x4



Entry 6:
Density functional theory data (GGA-PBE) for a relaxed structure of ReTeAu3.

Cell: 5.037 5.037 5.037 Å, 90.00 90.00 90.00°
Space group Pm-3m (No. 221)
Inequivalent atoms, fractional coordinates:
Re 0.000 0.000 0.000 x1
Te 0.500 0.500 0.500 x1
Au 0.000 0.000 0.500 x3



Entry 7:
Density functional theory data (GGA-PBE) for a relaxed structure of ReTeAu2.

Cell: 3.123 5.028 10.224 Å, 90.00 90.00 90.00°
Space group Cmm2 (No. 35)
Inequivalent atoms, fractional coordinates:
Re 0.000 0.000 0.000 x2
Te 0.000 0.500 0.785 x2
Au 0.000 0.000 0.465 x2
Au 0.000 0.500 0.227 x2



Entry 8:
Density functional theory data (GGA-PBE) for a relaxed structure of Re2TeAu.

Cell: 2.960 3.658 7.177 Å, 90.00 90.00 90.00°
Space group Pmm2 (No. 25)
Inequivalent atoms, fractional coordinates:
Re 0.000 0.000 0.000 x1
Re 0.500 0.500 0.165 x1
Te 0.000 0.000 0.409 x1
Au 0.500 0.500 0.760 x1



Entry 9:
Density functional theory data (GGA-PBE) for a relaxed structure of ReTeAu2.

Cell: 3.969 3.969 9.643 Å, 90.00 90.00 90.00°
Space group I4/mmm (No. 139)
Inequivalent atoms, fractional coordinates:
Re 0.000 0.000 0.000 x2
Te 0.000 0.000 0.500 x2
Au 0.000 0.500 0.250 x4



Entry 10:
Density functional theory data (GGA-PBE) for a relaxed structure of Re2TeAu.

Cell: 3.133 4.646 9.764 Å, 90.00 90.00 90.00°
Space group Immm (No. 71)
Inequivalent atoms, fractional coordinates:
Re 0.000 0.000 0.218 x4
Te 0.000 0.500 0.500 x2
Au 0.000 0.500 0.000 x2



Entry 11:
Density functional theory data (GGA-PBE) for a relaxed structure of ReTeAu2.

Cell: 5.830 9.017 2.859 Å, 90.00 90.00 90.00°
Space group Cmmm (No. 65)
Inequivalent atoms, fractional coordinates:
Re 0.000 0.000 0.000 x2
Te 0.000 0.500 0.000 x2
Au 0.250 0.250 0.500 x4



Entry 12:
Density functional theory data (GGA-PBE) for a relaxed structure of ReTeAu2.

Cell: 4.306 4.306 7.990 Å, 90.00 90.00 90.00°
Space group I-4m2 (No. 119)
Inequivalent atoms, fractional coordinates:
Re 0.000 0.000 0.000 x2
Te 0.000 0.500 0.750 x2
Au 0.000 0.000 0.500 x2
Au 0.000 0.500 0.250 x2



Calculated energy relative to the elements, uncorrected (meV/atom), listed in the same order as above: 875 791 856 625 962 1258 633 559 819 942 748 726